(1)
# AcPrErTm2 (PBE, optimized geometry)
# * energy: -4.090 eV/atom
# * density of states at the Fermi level: 1.65 states/eV per atom
# * calculated formation energy: 1.94 eV per formula unit
data_AcPrErTm2
_chemical_formula_sum 'Ac4 Pr4 Er4 Tm8'
_symmetry_space_group_name_H-M 'C m c m'
_symmetry_Int_Tables_number 63
_symmetry_space_group_name_Hall '-C 2c 2'
_cell_length_a 6.4401
_cell_length_b 17.6669
_cell_length_c 6.4440
_cell_angle_alpha 90.00
_cell_angle_beta 90.00
_cell_angle_gamma 90.00
loop_
_atom_site_label
_atom_site_type_symbol
_atom_site_fract_x
_atom_site_fract_y
_atom_site_fract_z
_atom_site_occupancy
Ac1 Ac 0.0000 0.1582 0.2500 1
Pr1 Pr 0.0000 0.3474 0.2500 1
Er1 Er 0.0000 0.2472 0.7500 1
Tm1 Tm 0.2487 0.5000 0.0000 1

(2)
# AcPr3ErTm (PBE, optimized geometry)
# * energy: -4.536 eV/atom
# * density of states at the Fermi level: 1.68 states/eV per atom
# * calculated formation energy: 0.26 eV per formula unit
data_AcPr3ErTm
_chemical_formula_sum 'Ac2 Pr6 Er2 Tm2'
_symmetry_space_group_name_H-M 'P 1 21/m 1'
_symmetry_Int_Tables_number 11
_cell_length_a 8.2071
_cell_length_b 5.2478
_cell_length_c 10.4798
_cell_angle_alpha 90.00
_cell_angle_beta 108.78
_cell_angle_gamma 90.00
loop_
_symmetry_equiv_pos_as_xyz
'x,y,z'
'-x,-y,-z'
'-x,y+1/2,-z'
'x,-y+1/2,z'
loop_
_atom_site_label
_atom_site_type_symbol
_atom_site_fract_x
_atom_site_fract_y
_atom_site_fract_z
_atom_site_occupancy
Ac1 Ac 0.1740 0.2500 0.2935 1
Pr1 Pr 0.1740 0.7500 0.5473 1
Pr2 Pr 0.1753 0.2500 0.7936 1
Pr3 Pr 0.1747 0.7500 0.0400 1
Er1 Er 0.4970 0.7500 0.8773 1
Tm1 Tm 0.4977 0.2500 0.6283 1

(3)
# AcPr2ErTm4 (PBE, optimized geometry)
# * energy: -4.084 eV/atom
# * density of states at the Fermi level: 2.26 states/eV per atom
# * calculated formation energy: 3.44 eV per formula unit
data_AcPr2ErTm4
_chemical_formula_sum 'Ac4 Pr8 Er4 Tm16'
_symmetry_space_group_name_H-M 'I m m a'
_symmetry_Int_Tables_number 74
_symmetry_space_group_name_Hall '-I 2b 2'
_cell_length_a 6.8902
_cell_length_b 11.9286
_cell_length_c 13.4242
_cell_angle_alpha 90.00
_cell_angle_beta 90.00
_cell_angle_gamma 90.00
loop_
_atom_site_label
_atom_site_type_symbol
_atom_site_fract_x
_atom_site_fract_y
_atom_site_fract_z
_atom_site_occupancy
Ac1 Ac 0.0000 0.0000 0.0000 1
Pr1 Pr 0.0000 0.0000 0.5000 1
Pr2 Pr 0.2500 0.2500 0.2500 1
Er1 Er 0.2500 0.2500 0.7500 1
Tm1 Tm 0.0000 0.0072 0.7416 1
Tm2 Tm 0.2377 0.2500 0.5066 1

(4)
# Ac2Pr5ErTm (PBE, optimized geometry)
# * energy: -4.462 eV/atom
# * density of states at the Fermi level: 1.42 states/eV per atom
# * calculated formation energy: 0.99 eV per formula unit
data_Ac2Pr5ErTm
_chemical_formula_sum 'Ac8 Pr20 Er4 Tm4'
_symmetry_space_group_name_H-M 'C m c m'
_symmetry_Int_Tables_number 63
_symmetry_space_group_name_Hall '-C 2c 2'
_cell_length_a 5.6382
_cell_length_b 22.7141
_cell_length_c 10.4872
_cell_angle_alpha 90.00
_cell_angle_beta 90.00
_cell_angle_gamma 90.00
loop_
_atom_site_label
_atom_site_type_symbol
_atom_site_fract_x
_atom_site_fract_y
_atom_site_fract_z
_atom_site_occupancy
Ac1 Ac 0.0000 0.1160 0.0114 1
Pr1 Pr 0.0000 0.0036 0.7500 1
Pr2 Pr 0.0000 0.2780 0.0616 1
Pr3 Pr 0.0000 0.3767 0.7500 1
Pr4 Pr 0.0000 0.5000 0.0000 1
Er1 Er 0.0000 0.3971 0.2500 1
Tm1 Tm 0.0000 0.2165 0.7500 1

(5)
# Ac2Pr5YEr (PBE, optimized geometry)
# * energy: -4.684 eV/atom
# * density of states at the Fermi level: 1.46 states/eV per atom
# * calculated formation energy: 0.98 eV per formula unit
data_Ac2Pr5YEr
_chemical_formula_sum 'Ac8 Pr20 Y4 Er4'
_symmetry_space_group_name_H-M 'C m c m'
_symmetry_Int_Tables_number 63
_symmetry_space_group_name_Hall '-C 2c 2'
_cell_length_a 5.6566
_cell_length_b 22.7922
_cell_length_c 10.5100
_cell_angle_alpha 90.00
_cell_angle_beta 90.00
_cell_angle_gamma 90.00
loop_
_atom_site_label
_atom_site_type_symbol
_atom_site_fract_x
_atom_site_fract_y
_atom_site_fract_z
_atom_site_occupancy
Ac1 Ac 0.0000 0.1162 0.0116 1
Pr1 Pr 0.0000 0.0028 0.7500 1
Pr2 Pr 0.0000 0.2779 0.0607 1
Pr3 Pr 0.0000 0.3776 0.7500 1
Pr4 Pr 0.0000 0.5000 0.0000 1
Y1 Y 0.0000 0.3970 0.2500 1
Er1 Er 0.0000 0.2175 0.7500 1

(6)
# AcPrYEr (PBE, optimized geometry)
# * energy: -4.755 eV/atom
# * density of states at the Fermi level: 2.44 states/eV per atom
# * calculated formation energy: 0.89 eV per formula unit
# * E above lowest polymorph: 16.5 kJ/mol of atoms
data_AcPrYEr
_chemical_formula_sum 'Ac4 Pr4 Y4 Er4'
_symmetry_space_group_name_H-M 'F -4 3 m'
_symmetry_Int_Tables_number 216
_symmetry_space_group_name_Hall 'F -4 2 3'
_cell_length_a 8.3279
_cell_length_b 8.3279
_cell_length_c 8.3279
_cell_angle_alpha 90.00
_cell_angle_beta 90.00
_cell_angle_gamma 90.00
loop_
_atom_site_label
_atom_site_type_symbol
_atom_site_fract_x
_atom_site_fract_y
_atom_site_fract_z
_atom_site_occupancy
Ac1 Ac 0.0000 0.0000 0.0000 1
Pr1 Pr 0.2500 0.2500 0.7500 1
Y1 Y 0.2500 0.2500 0.2500 1
Er1 Er 0.0000 0.0000 0.5000 1

(7)
# Ac2PrYEr (PBE, optimized geometry)
# * energy: -4.545 eV/atom
# * density of states at the Fermi level: 1.22 states/eV per atom
# * calculated formation energy: 1.30 eV per formula unit
data_Ac2PrYEr
_chemical_formula_sum 'Ac4 Pr2 Y2 Er2'
_symmetry_space_group_name_H-M 'P m m a'
_symmetry_Int_Tables_number 51
_cell_length_a 6.4838
_cell_length_b 8.9732
_cell_length_c 6.7261
_cell_angle_alpha 90.00
_cell_angle_beta 90.00
_cell_angle_gamma 90.00
loop_
_symmetry_equiv_pos_as_xyz
'x,y,z'
'-x,-y,-z'
'-x+1/2,-y,z'
'x+1/2,y,-z'
'x+1/2,-y,-z'
'-x+1/2,y,z'
'-x,y,-z'
'x,-y,z'
loop_
_atom_site_label
_atom_site_type_symbol
_atom_site_fract_x
_atom_site_fract_y
_atom_site_fract_z
_atom_site_occupancy
Ac1 Ac 0.2500 0.2035 0.2136 1
Pr1 Pr 0.2500 0.5000 0.9188 1
Y1 Y 0.2500 0.0000 0.6868 1
Er1 Er 0.0000 0.5000 0.5000 1

(8)
# AcPrYEr (PBE, optimized geometry)
# * energy: -4.926 eV/atom
# * density of states at the Fermi level: 1.76 states/eV per atom
# * calculated formation energy: 0.21 eV per formula unit
# * E above lowest polymorph: 0.0 kJ/mol of atoms
data_AcPrYEr
_chemical_formula_sum 'Ac1 Pr1 Y1 Er1'
_symmetry_space_group_name_H-M 'P 4 m m'
_symmetry_Int_Tables_number 99
_cell_length_a 3.7217
_cell_length_b 3.7217
_cell_length_c 10.3551
_cell_angle_alpha 90.00
_cell_angle_beta 90.00
_cell_angle_gamma 90.00
loop_
_symmetry_equiv_pos_as_xyz
'x,y,z'
'-y,x,z'
'-x,-y,z'
'y,-x,z'
'-x,y,z'
'y,x,z'
'x,-y,z'
'-y,-x,z'
loop_
_atom_site_label
_atom_site_type_symbol
_atom_site_fract_x
_atom_site_fract_y
_atom_site_fract_z
_atom_site_occupancy
Ac1 Ac 0.0000 0.0000 0.0000 1
Pr1 Pr 0.5000 0.5000 0.7317 1
Y1 Y 0.5000 0.5000 0.2620 1
Er1 Er 0.0000 0.0000 0.4912 1

(9)
# AcPr6YEr2 (PBE, optimized geometry)
# * energy: -4.723 eV/atom
# * density of states at the Fermi level: 1.46 states/eV per atom
# * calculated formation energy: 1.14 eV per formula unit
data_AcPr6YEr2
_chemical_formula_sum 'Ac4 Pr24 Y4 Er8'
_symmetry_space_group_name_H-M 'C 1 2/c 1'
_symmetry_Int_Tables_number 15
_cell_length_a 9.4626
_cell_length_b 15.5392
_cell_length_c 9.8562
_cell_angle_alpha 90.00
_cell_angle_beta 96.32
_cell_angle_gamma 90.00
loop_
_symmetry_equiv_pos_as_xyz
'x,y,z'
'-x,-y,-z'
'-x,y,-z+1/2'
'x,-y,z+1/2'
'x+1/2,y+1/2,z'
'-x+1/2,-y+1/2,-z'
'-x+1/2,y+1/2,-z+1/2'
'x+1/2,-y+1/2,z+1/2'
loop_
_atom_site_label
_atom_site_type_symbol
_atom_site_fract_x
_atom_site_fract_y
_atom_site_fract_z
_atom_site_occupancy
Ac1 Ac 0.0000 0.0292 0.2500 1
Pr1 Pr 0.0632 0.1813 0.9465 1
Pr2 Pr 0.0981 0.3905 0.1189 1
Pr3 Pr 0.2195 0.2272 0.3179 1
Y1 Y 0.0000 0.4117 0.7500 1
Er1 Er 0.2422 0.4476 0.4525 1

(10)
# AcPr5Y2Er (PBE, optimized geometry)
# * energy: -4.918 eV/atom
# * density of states at the Fermi level: 1.32 states/eV per atom
# * calculated formation energy: 1.23 eV per formula unit
data_AcPr5Y2Er
_chemical_formula_sum 'Ac4 Pr20 Y8 Er4'
_symmetry_space_group_name_H-M 'C m c 21'
_symmetry_Int_Tables_number 36
_cell_length_a 5.6151
_cell_length_b 24.7302
_cell_length_c 9.5353
_cell_angle_alpha 90.00
_cell_angle_beta 90.00
_cell_angle_gamma 90.00
loop_
_symmetry_equiv_pos_as_xyz
'x,y,z'
'-x,-y,z+1/2'
'-x,y,z'
'x,-y,z+1/2'
'x+1/2,y+1/2,z'
'-x+1/2,-y+1/2,z+1/2'
'-x+1/2,y+1/2,z'
'x+1/2,-y+1/2,z+1/2'
loop_
_atom_site_label
_atom_site_type_symbol
_atom_site_fract_x
_atom_site_fract_y
_atom_site_fract_z
_atom_site_occupancy
Ac1 Ac 0.0000 0.1023 0.0000 1
Pr1 Pr 0.0000 0.0238 0.6737 1
Pr2 Pr 0.0000 0.1070 0.3970 1
Pr3 Pr 0.0000 0.1909 0.7052 1
Pr4 Pr 0.0000 0.2409 0.0660 1
Pr5 Pr 0.0000 0.4896 0.8900 1
Y1 Y 0.0000 0.3264 0.7511 1
Y2 Y 0.0000 0.3878 0.1475 1
Er1 Er 0.0000 0.2634 0.3927 1

Number 1: volume 733 Å³ per cell. Number 2: volume 427 Å³ per cell. Number 3: volume 1103 Å³ per cell. Number 4: volume 1343 Å³ per cell. Number 5: volume 1355 Å³ per cell. Number 6: volume 578 Å³ per cell. Number 7: volume 391 Å³ per cell. Number 8: volume 143 Å³ per cell. Number 9: volume 1440 Å³ per cell. Number 10: volume 1324 Å³ per cell.